Compound: Co2CuRe
Source: the Alexandria database
Functional: GGA-PBE
Structure: optimized geometry

abc: 4.4958 4.4958 4.4136
angles: 79.13 79.13 33.50
Element x y z (fractional)
Re (0.7437, 0.7437, 0.7737)
Cu (0.5047, 0.5047, 0.4792)
Co (0.9931, 0.9931, 0.9839)
Co (0.2585, 0.2585, 0.2631)

Computed properties:
Space-group type: Cm
E above lowest polymorph: 77 meV per atom

***

Compound: CoCu2Re
Source: the Alexandria database
Functional: GGA-PBE
Structure: optimized geometry

abc: 6.6566 6.6566 5.2901
angles: 51.01 51.01 90.00
Element x y z (fractional)
Cu (0.3750, 0.3919, 0.7500)
Cu (0.1419, 0.6250, 0.2500)
Cu (0.6081, 0.1250, 0.2500)
Cu (0.8750, 0.8581, 0.7500)
Co (0.5000, 0.5000, 0.0000)
Co (0.2500, 0.7500, 0.5000)
Re (0.0000, 0.0000, 0.0000)
Re (0.7500, 0.2500, 0.5000)

Computed properties:
Space-group type: I-42d
E above lowest polymorph: 744 meV per atom

***

Compound: Co2CuRe
Source: the Alexandria database
Functional: GGA-PBE
Structure: optimized geometry

abc: 4.5449 4.5449 4.5449
angles: 134.33 134.33 66.57
Element x y z (fractional)
Cu (0.5000, 0.5000, 0.0000)
Co (0.0000, 0.0000, 0.0000)
Co (0.7500, 0.2500, 0.5000)
Re (0.2500, 0.7500, 0.5000)

Computed properties:
Space-group type: I-4m2
E above lowest polymorph: 95 meV per atom

***

Compound: Co2CuRe
Source: the Alexandria database
Functional: GGA-PBE
Structure: optimized geometry

abc: 4.3534 4.3534 4.3534
angles: 130.11 130.05 73.28
Element x y z (fractional)
Co (0.5000, 0.5000, 0.0000)
Co (0.0000, 0.0000, 0.0000)
Cu (0.7500, 0.2500, 0.5000)
Re (0.2500, 0.7500, 0.5000)

Computed properties:
Space-group type: I4/mmm
E above lowest polymorph: 27 meV per atom

***

Compound: Co2CuRe
Source: the Alexandria database
Functional: GGA-PBE
Structure: optimized geometry

abc: 2.6434 2.6434 6.8907
angles: 90.00 90.00 89.99
Element x y z (fractional)
Re (0.5000, 0.5000, 0.7500)
Co (0.0000, 0.0000, 0.4980)
Co (0.0000, 0.0000, 0.0020)
Cu (0.5000, 0.5000, 0.2500)

Computed properties:
Space-group type: P4/mmm
E above lowest polymorph: 0 meV per atom

***

Compound: CoCu2Re
Source: the Alexandria database
Functional: GGA-PBE
Structure: optimized geometry

abc: 4.5873 4.5873 4.4136
angles: 80.27 80.27 32.83
Element x y z (fractional)
Cu (0.5027, 0.5027, 0.4947)
Cu (0.9973, 0.9973, 0.0053)
Re (0.7500, 0.7500, 0.7500)
Co (0.2500, 0.2500, 0.2500)

Computed properties:
Space-group type: C2/m
E above lowest polymorph: 117 meV per atom

***

Compound: Co2CuRe
Source: the Alexandria database
Functional: GGA-PBE
Structure: optimized geometry

abc: 8.3986 8.3986 8.3986
angles: 18.08 18.08 18.08
Element x y z (fractional)
Cu (0.2500, 0.2500, 0.2500)
Co (0.9995, 0.9995, 0.9995)
Co (0.5005, 0.5005, 0.5005)
Re (0.7500, 0.7500, 0.7500)

Computed properties:
Space-group type: R-3m
E above lowest polymorph: 90 meV per atom

***

Compound: CoCuRe
Source: the Alexandria database
Functional: GGA-PBE
Structure: optimized geometry

abc: 3.9041 3.9041 3.9041
angles: 60.00 60.00 60.00
Element x y z (fractional)
Re (0.5000, 0.5000, 0.5000)
Cu (0.0000, 0.0000, 0.0000)
Co (0.7500, 0.7500, 0.7500)

Computed properties:
Space-group type: F-43m
E above lowest polymorph: 385 meV per atom

***

Compound: Co2CuRe
Source: the Alexandria database
Functional: GGA-PBE
Structure: optimized geometry

abc: 3.7233 2.5820 5.6713
angles: 62.90 90.00 90.00
Element x y z (fractional)
Re (0.5000, 0.7335, 0.7662)
Co (0.0000, 0.0082, 0.9917)
Co (0.5000, 0.2436, 0.2564)
Cu (0.0000, 0.5147, 0.4856)

Computed properties:
Space-group type: Pmm2
E above lowest polymorph: 98 meV per atom

***

Compound: CoCu2Re
Source: the Alexandria database
Functional: GGA-PBE
Structure: optimized geometry

abc: 3.6587 2.6039 5.8480
angles: 63.43 90.00 90.00
Element x y z (fractional)
Re (0.0000, 0.4762, 0.5223)
Cu (0.0000, 0.9919, 0.0099)
Cu (0.5000, 0.2638, 0.2365)
Co (0.5000, 0.7681, 0.7312)

Computed properties:
Space-group type: Pm
E above lowest polymorph: 43 meV per atom

***

Compound: Co2CuRe
Source: the Alexandria database
Functional: GGA-PBE
Structure: optimized geometry

abc: 4.1714 2.5158 4.7100
angles: 84.25 90.00 90.00
Element x y z (fractional)
Re (0.5000, 0.7500, 0.7500)
Co (0.0000, 0.4731, 0.4972)
Co (0.0000, 0.0269, 0.0028)
Cu (0.5000, 0.2500, 0.2500)

Computed properties:
Space-group type: P2/m
E above lowest polymorph: 166 meV per atom

***

Compound: CoCu2Re
Source: the Alexandria database
Functional: GGA-PBE
Structure: optimized geometry

abc: 4.4248 4.4248 4.6073
angles: 81.21 81.21 34.00
Element x y z (fractional)
Re (0.5047, 0.5047, 0.4709)
Cu (0.9961, 0.9961, 0.9804)
Cu (0.7473, 0.7473, 0.7708)
Co (0.2519, 0.2519, 0.2779)

Computed properties:
Space-group type: Cm
E above lowest polymorph: 73 meV per atom

***

Compound: CoCuRe
Source: the Alexandria database
Functional: GGA-PBE
Structure: optimized geometry

abc: 4.4792 4.4792 4.4792
angles: 145.97 131.57 60.51
Element x y z (fractional)
Co (0.0043, 0.0043, 0.0000)
Cu (0.3345, 0.3345, 0.0000)
Re (0.6611, 0.6611, 0.0000)

Computed properties:
Space-group type: Imm2
E above lowest polymorph: 26 meV per atom

***

Compound: Co2CuRe
Source: the Alexandria database
Functional: GGA-PBE
Structure: optimized geometry

abc: 4.2897 4.2897 2.6692
angles: 90.00 90.00 90.00
Element x y z (fractional)
Re (0.0000, 0.5000, 0.5000)
Co (0.0000, 0.0000, 0.0000)
Co (0.5000, 0.5000, 0.0000)
Cu (0.5000, 0.0000, 0.5000)

Computed properties:
Space-group type: P4/mmm
E above lowest polymorph: 191 meV per atom

***

Compound: CoCu2Re
Source: the Alexandria database
Functional: GGA-PBE
Structure: optimized geometry

abc: 8.6878 8.6878 8.6878
angles: 17.47 17.47 17.47
Element x y z (fractional)
Co (0.7500, 0.7500, 0.7500)
Cu (0.0032, 0.0032, 0.0032)
Cu (0.4968, 0.4968, 0.4968)
Re (0.2500, 0.2500, 0.2500)

Computed properties:
Space-group type: R-3m
E above lowest polymorph: 166 meV per atom

***

Compound: CoCu3Re
Source: the Alexandria database
Functional: GGA-PBE
Structure: optimized geometry

abc: 4.2678 4.2678 4.2678
angles: 90.00 90.00 90.00
Element x y z (fractional)
Co (0.0000, 0.0000, 0.0000)
Re (0.5000, 0.5000, 0.5000)
Cu (0.0000, 0.5000, 0.0000)
Cu (0.0000, 0.0000, 0.5000)
Cu (0.5000, 0.0000, 0.0000)

Computed properties:
Space-group type: Pm-3m
E above lowest polymorph: 0 meV per atom

***

Compound: CoCu2Re
Source: the Alexandria database
Functional: GGA-PBE
Structure: optimized geometry

abc: 4.7252 4.7252 2.4937
angles: 90.00 90.00 113.91
Element x y z (fractional)
Re (0.5000, 0.0000, 0.5000)
Co (0.0000, 0.5000, 0.5000)
Cu (0.0000, 0.0000, 0.0000)
Cu (0.5000, 0.5000, 0.0000)

Computed properties:
Space-group type: Cmmm
E above lowest polymorph: 173 meV per atom

***

Compound: Co4CuRe
Source: the Alexandria database
Functional: GGA-PBE
Structure: optimized geometry

abc: 4.5943 4.5943 4.5943
angles: 60.00 60.00 60.00
Element x y z (fractional)
Co (0.3756, 0.8731, 0.3756)
Co (0.8731, 0.3756, 0.3756)
Co (0.3756, 0.3756, 0.8731)
Co (0.3756, 0.3756, 0.3756)
Re (0.0000, 0.0000, 0.0000)
Cu (0.7500, 0.7500, 0.7500)

Computed properties:
Space-group type: F-43m
Uncorrected energy: -43.67 eV for the cell shown

***

Compound: CoCu2Re
Source: the Alexandria database
Functional: GGA-PBE
Structure: optimized geometry

abc: 2.6528 2.6528 7.0756
angles: 90.00 90.00 90.00
Element x y z (fractional)
Co (0.5000, 0.5000, 0.7519)
Cu (0.5000, 0.5000, 0.2375)
Cu (0.0000, 0.0000, 0.9948)
Re (0.0000, 0.0000, 0.5158)

Computed properties:
Space-group type: P4mm
E above lowest polymorph: 0 meV per atom

***

Compound: CoCu2Re
Source: the Alexandria database
Functional: GGA-PBE
Structure: optimized geometry

abc: 8.4813 8.4813 8.4813
angles: 18.06 18.06 18.06
Element x y z (fractional)
Re (0.4969, 0.4969, 0.4969)
Co (0.7493, 0.7493, 0.7493)
Cu (0.0008, 0.0008, 0.0008)
Cu (0.2530, 0.2530, 0.2530)

Computed properties:
Space-group type: R3m
E above lowest polymorph: 46 meV per atom